Entry 1:
Below is a relaxed TmS4 crystal, with properties calculated at the PBE-GGA level.

a = 5.2591 Å, b = 5.2591 Å, c = 5.2591 Å
α = 90.00°, β = 90.00°, γ = 90.00°
Closest atoms and distances in Å follow each position.
Space group Pm-3m (No. 221)
Asymmetric unit:
Tm1 0.0000 0.0000 0.0000 x1  6 S 2.63
S1 0.0000 0.0000 0.5000 x3  2 Tm 2.63
S2 0.5000 0.5000 0.5000 x1  12 S 3.72

Calculated values
DOS at the Fermi energy: 3.4 states/eV/f.u.
uncorrected formation energy: 169 meV/atom
ρ: 3.39 g cm⁻³
polymorph energy (0 for the lowest one): 92.69 kJ per mole of atoms
crystal system: cubic

Entry 2:
Below is a relaxed TmS4 crystal, with properties calculated at the PBE-GGA level.

a = 4.0619 Å, b = 5.1315 Å, c = 5.3593 Å
α = 104.74°, β = 92.41°, γ = 96.89°
Closest atoms and distances in Å follow each position.
Space group P-1 (No. 2)
Asymmetric unit:
Tm1 0.0000 0.0000 0.0000 x1  8 S 2.75-2.90
S1 0.1684 0.8670 0.4668 x2  1 S 2.03
S2 0.4489 0.6132 0.8671 x2  1 S 2.11

Calculated values
DOS at the Fermi energy: 1.3 states/eV/f.u.
uncorrected formation energy: -792 meV/atom
ρ: 4.61 g cm⁻³
polymorph energy (0 for the lowest one): 0.00 kJ per mole of atoms
crystal system: triclinic

Entry 3:
Below is a relaxed Tm8S11 crystal, with properties calculated at the PBE-GGA level.

a = 3.7578 Å, b = 12.6703 Å, c = 35.0762 Å
α = 90.00°, β = 90.00°, γ = 90.00°
Closest atoms and distances in Å follow each position.
Space group Cmcm (No. 63)
Asymmetric unit:
Tm1 0.0000 0.0000 0.0000 x4  6 S 2.66-2.70
Tm2 0.0000 0.0197 0.1328 x8  6 S 2.65-2.75
Tm3 0.0000 0.2406 0.6830 x8  6 S 2.66-2.78
Tm4 0.0000 0.2572 0.0580 x8  7 S 2.72-2.90
Tm5 0.0000 0.4896 0.7500 x4  6 S 2.70-2.82
S1 0.0000 0.0903 0.5685 x8  4 Tm 2.65-2.72
S2 0.0000 0.1148 0.2034 x8  5 Tm 2.72-2.82
S3 0.0000 0.1423 0.7500 x4  4 Tm 2.66-2.70
S4 0.0000 0.3350 0.6116 x8  5 Tm 2.73-2.90
S5 0.0000 0.3532 0.5160 x8  5 Tm 2.70-2.87
S6 0.0000 0.3969 0.1629 x8  4 Tm 2.66

Calculated values
DOS at the Fermi energy: 3.3 states/eV/f.u.
uncorrected formation energy: -2048 meV/atom
ρ: 6.78 g cm⁻³
crystal system: orthorhombic

Entry 4:
Below is a relaxed Tm2S3 crystal, with properties calculated at the PBE-GGA level.

a = 6.8005 Å, b = 6.8005 Å, c = 18.3292 Å
α = 90.00°, β = 90.00°, γ = 120.00°
Closest atoms and distances in Å follow each position.
Space group R-3c (No. 167, hexagonal axes)
Asymmetric unit:
Tm1 0.0000 0.0000 0.1505 x12  6 S 2.68-2.75
S1 0.0000 0.3024 0.2500 x18  4 Tm 2.68-2.75

Calculated values
DOS at the Fermi energy: 0.0 states/eV/f.u.
uncorrected formation energy: -2063 meV/atom
ρ: 5.89 g cm⁻³
crystal system: trigonal